VASP calculation (GGA-PBE) on crystalline Tb5Nd3Dy at its relaxed geometry.

Values from the calculation:
Calculated density, g cm⁻³: 6.9
Density of states at the Fermi level, states/eV/f.u.: 12.9
Space group: C2/m
Formation energy from the elements, eV/f.u.: 4.61
Energy relative to the lowest polymorph listed for this composition, kJ per mole of atoms: 21.0
Crystal system: monoclinic

abc: 9.5807 9.5807 11.7250
angles: 52.46 52.46 73.50
Fractional positions:
Tb (0.8436, 0.3418, 0.2516)
Tb (0.2556, 0.7444, 0.0000)
Tb (0.8173, 0.8173, 0.9593)
Tb (0.4946, 0.4946, 0.2265)
Tb (0.5054, 0.5054, 0.7735)
Tb (0.1827, 0.1827, 0.0407)
Tb (0.3418, 0.8436, 0.2516)
Tb (0.7444, 0.2556, 0.0000)
Tb (0.1564, 0.6582, 0.7484)
Tb (0.6582, 0.1564, 0.7484)
Nd (0.6953, 0.6953, 0.8120)
Nd (0.6621, 0.6621, 0.3585)
Nd (0.0000, 0.0000, 0.0000)
Nd (0.0000, 0.0000, 0.5000)
Nd (0.3047, 0.3047, 0.1880)
Nd (0.3379, 0.3379, 0.6415)
Dy (0.1543, 0.1543, 0.5982)
Dy (0.8457, 0.8457, 0.4018)